Entry 1:
This record from the Alexandria database describes a relaxed TcAs2Os crystal. The functional is PBE-GGA.

Summary:
- size of the total moment (μB per cell) = 0.00
- N(E_F) (states/eV per atom) = 1.20
- formation energy from the elements (meV/atom) = 229
- energy above the lowest structure with this stoichiometry (eV per atom) = 0.2010

Unit cell a=7.9517 b=7.9517 c=7.9517 alpha=21.73 beta=21.73 gamma=21.73
Closest atoms and distances in Å follow each position.
Fractional positions:
As  0.0007  0.0007  0.0007  3 Tc 2.59, 3 Os 2.61
As  0.4993  0.4993  0.4993  3 Tc 2.59, 3 Os 2.61
Os  0.2500  0.2500  0.2500  6 As 2.61
Tc  0.7500  0.7500  0.7500  6 As 2.59



Entry 2:
This record from the Alexandria database describes a relaxed Ca3Ac2Sn4 crystal. The functional is PBE-GGA.

Summary:
- size of the total moment (μB per cell) = 0.00
- N(E_F) (states/eV per atom) = 0.87
- formation energy from the elements (meV/atom) = -567
- energy above the lowest structure with this stoichiometry (eV per atom) = 0.1868

Unit cell a=7.1290 b=9.3432 c=9.6180 alpha=90.00 beta=111.75 gamma=90.00
Closest atoms and distances in Å follow each position.
Fractional positions:
Ca  0.0000  0.0000  0.0000  6 Sn 3.01-3.34
Ca  0.5000  0.5000  0.0000  6 Sn 3.01-3.34
Ca  0.5410  0.7500  0.5819  5 Sn 3.10-3.37
Ca  0.9590  0.2500  0.4181  5 Sn 3.10-3.37
Ca  0.4590  0.2500  0.4181  5 Sn 3.10-3.37
Ca  0.0410  0.7500  0.5819  5 Sn 3.10-3.37
Ac  0.1117  0.5871  0.2234  8 Sn 3.52-3.87
Ac  0.8883  0.4129  0.7766  8 Sn 3.52-3.87
Ac  0.3883  0.0871  0.7766  8 Sn 3.52-3.87
Ac  0.6117  0.9129  0.2234  8 Sn 3.52-3.87
Sn  0.7145  0.7500  0.9290  3 Ca 3.01-3.10
Sn  0.7855  0.2500  0.0710  3 Ca 3.01-3.10
Sn  0.2855  0.2500  0.0710  3 Ca 3.01-3.10
Sn  0.2145  0.7500  0.9290  3 Ca 3.01-3.10
Sn  0.1851  0.9475  0.3702  5 Ca 3.19-3.37
Sn  0.8149  0.0525  0.6298  5 Ca 3.19-3.37
Sn  0.3149  0.4475  0.6298  5 Ca 3.19-3.37
Sn  0.6851  0.5525  0.3702  5 Ca 3.19-3.37



Entry 3:
This record from the Alexandria database describes a relaxed Sm2Er5Tm6 crystal. The functional is PBE-GGA.

Summary:
- size of the total moment (μB per cell) = 0.00
- N(E_F) (states/eV per atom) = 1.30
- formation energy from the elements (meV/atom) = 102

Unit cell a=3.5384 b=11.5444 c=19.9599 alpha=90.00 beta=90.00 gamma=90.00
Closest atoms and distances in Å follow each position.
Fractional positions:
Sm  0.0000  0.3338  0.2868  4 Tm 3.33-3.73, 4 Er 3.48-3.53, 2 Sm 3.54
Sm  0.0000  0.6662  0.7132  4 Tm 3.33-3.73, 4 Er 3.48-3.53, 2 Sm 3.54
Sm  0.0000  0.8338  0.2132  4 Tm 3.33-3.73, 4 Er 3.48-3.53, 2 Sm 3.54
Sm  0.0000  0.1662  0.7868  4 Tm 3.33-3.73, 4 Er 3.48-3.53, 2 Sm 3.54
Er  0.5000  0.3007  0.4504  7 Tm 3.50-3.86, 3 Er 3.54-3.61, 2 Sm 3.73
Er  0.5000  0.6993  0.5496  7 Tm 3.50-3.86, 3 Er 3.54-3.61, 2 Sm 3.73
Er  0.5000  0.8007  0.0496  7 Tm 3.50-3.86, 3 Er 3.54-3.61, 2 Sm 3.73
Er  0.5000  0.1993  0.9504  7 Tm 3.50-3.86, 3 Er 3.54-3.61, 2 Sm 3.73
Er  0.5000  0.5924  0.2757  5 Tm 3.27-3.41, 4 Sm 3.48-3.53, 2 Er 3.54
Er  0.5000  0.4076  0.7243  5 Tm 3.27-3.41, 4 Sm 3.48-3.53, 2 Er 3.54
Er  0.5000  0.0924  0.2243  5 Tm 3.27-3.41, 4 Sm 3.48-3.53, 2 Er 3.54
Er  0.5000  0.9076  0.7757  5 Tm 3.27-3.41, 4 Sm 3.48-3.53, 2 Er 3.54
Er  0.5000  0.5000  0.0000  6 Tm 3.29-3.32, 4 Er 3.54-3.61
Er  0.5000  0.0000  0.5000  6 Tm 3.29-3.32, 4 Er 3.54-3.61
Tm  0.0000  0.0814  0.3675  6 Er 3.32-3.50, 1 Sm 3.33, 4 Tm 3.46-3.54
Tm  0.0000  0.9186  0.6325  6 Er 3.32-3.50, 1 Sm 3.33, 4 Tm 3.46-3.54
Tm  0.0000  0.5814  0.1325  6 Er 3.32-3.50, 1 Sm 3.33, 4 Tm 3.46-3.54
Tm  0.0000  0.4186  0.8675  6 Er 3.32-3.50, 1 Sm 3.33, 4 Tm 3.46-3.54
Tm  0.5000  0.3236  0.1296  2 Er 3.27-3.29, 4 Tm 3.46-3.54, 2 Sm 3.60
Tm  0.5000  0.6764  0.8704  2 Er 3.27-3.29, 4 Tm 3.46-3.54, 2 Sm 3.60
Tm  0.5000  0.8236  0.3704  2 Er 3.27-3.29, 4 Tm 3.46-3.54, 2 Sm 3.60
Tm  0.5000  0.1764  0.6296  2 Er 3.27-3.29, 4 Tm 3.46-3.54, 2 Sm 3.60
Tm  0.0000  0.5588  0.4206  6 Er 3.41-3.52, 5 Tm 3.45-3.67, 1 Sm 3.73
Tm  0.0000  0.4412  0.5794  6 Er 3.41-3.52, 5 Tm 3.45-3.67, 1 Sm 3.73
Tm  0.0000  0.0588  0.0794  6 Er 3.41-3.52, 5 Tm 3.45-3.67, 1 Sm 3.73
Tm  0.0000  0.9412  0.9206  6 Er 3.41-3.52, 5 Tm 3.45-3.67, 1 Sm 3.73